Material: BaSrMo2
Method: DFT, PBE
State: optimized geometry

Values from the calculation:
For the relative energy among the computed polymorphs, the calculation gives 1271 meV per atom. Its symmetry is I-42d. The formation energy comes out at 1.801 eV/atom.

Cell: 6.8847 6.8847 6.8847 Å, 100.59 100.59 129.22°
Fractional positions:
Ba: 0.0000 0.0000 0.0000
Ba: 0.7500 0.2500 0.5000
Sr: 0.2500 0.7500 0.5000
Sr: 0.5000 0.5000 0.0000
Mo: 0.1249 0.6250 0.9999
Mo: 0.3750 0.3749 0.4999
Mo: 0.6251 0.1250 0.0001
Mo: 0.8750 0.8751 0.5001